The following is a DFT calculation (PBE-GGA) of PuP2BrO8 after structural relaxation.

**Final energy**: -90.9 eV for the cell shown
**Density of states at the Fermi level**: 0.684 states/eV per atom
**Space-group type**: C2/m, No. 12

abc: 5.581 5.581 8.770
angles: 104.80 104.80 60.67
Atoms (fractional coordinates):
Pu1 0.000 0.000 0.000
P1 0.714 0.714 0.205
P2 0.286 0.286 0.795
Br1 0.000 0.000 0.500
O1 0.607 0.161 0.842
O2 0.829 0.829 0.113
O3 0.783 0.783 0.388
O4 0.217 0.217 0.612
O5 0.171 0.171 0.887
O6 0.161 0.607 0.842
O7 0.839 0.393 0.158
O8 0.393 0.839 0.158

The following is a DFT calculation (PBE-GGA) of LaTb10Dy4 after structural relaxation.

**Final energy**: -61.5 eV for the cell shown
**Density of states at the Fermi level**: 1.970 states/eV per atom
**E_form**: 0.55 eV per atom
**Space-group type**: I4/m, No. 87

abc: 6.616 9.614 9.614
angles: 83.20 69.87 69.87
Atoms (fractional coordinates):
La1 0.000 0.000 0.000
Tb1 0.250 0.500 0.500
Tb2 0.622 0.420 0.837
Tb3 0.957 0.163 0.420
Tb4 0.540 0.837 0.580
Tb5 0.880 0.580 0.163
Tb6 0.378 0.580 0.163
Tb7 0.750 0.500 0.500
Tb8 0.120 0.420 0.837
Tb9 0.460 0.163 0.420
Tb10 0.043 0.837 0.580
Dy1 0.433 0.891 0.243
Dy2 0.676 0.757 0.891
Dy3 0.324 0.243 0.109
Dy4 0.567 0.109 0.757